Entry 1:
Density functional theory data (meta-GGA SCAN) for a PBEsol-optimized structure of PdAuSCl2.

The calculation puts the uncorrected formation energy at 0.295 eV/atom. For the electronic total energy, the calculation gives -25.208 eV/atom.

abc: 4.695 4.666 4.666
angles: 90.00 90.00 90.00
Fractional coordinates of all 5 atoms:
Pd (0.000, 0.000, 0.000)
S (0.500, 0.000, 0.000)
Au (0.500, 0.500, 0.500)
Cl (0.000, 0.000, 0.500)
Cl (0.000, 0.500, 0.000)



Entry 2:
Density functional theory data (meta-GGA SCAN) for a PBEsol-optimized structure of Pt2AuCl.

The calculation puts the uncorrected formation energy at 0.413 eV/atom. For the electronic total energy, the calculation gives -53.968 eV/atom.

abc: 2.985 2.985 8.449
angles: 79.83 79.83 60.00
Fractional coordinates of all 4 atoms:
Cl (0.000, 0.000, 0.000)
Pt (0.748, 0.748, 0.757)
Pt (0.252, 0.252, 0.243)
Au (0.500, 0.500, 0.500)



Entry 3:
Density functional theory data (meta-GGA SCAN) for a PBEsol-optimized structure of PtAuCl3.

The calculation puts the uncorrected formation energy at 0.171 eV/atom. For the electronic total energy, the calculation gives -32.485 eV/atom.

abc: 4.751 4.751 4.751
angles: 90.00 90.00 90.00
Fractional coordinates of all 5 atoms:
Pt (0.000, 0.000, 0.000)
Cl (0.500, 0.000, 0.000)
Cl (0.000, 0.500, 0.000)
Cl (0.000, 0.000, 0.500)
Au (0.500, 0.500, 0.500)



Entry 4:
Density functional theory data (meta-GGA SCAN) for a PBEsol-optimized structure of PtAuCl2.

The calculation puts the uncorrected formation energy at 0.185 eV/atom. For the electronic total energy, the calculation gives -38.641 eV/atom.

abc: 5.259 6.263 6.263
angles: 79.85 65.18 65.18
Fractional coordinates of all 8 atoms:
Cl (0.244, 0.881, 0.381)
Cl (0.875, 0.619, 0.881)
Cl (0.506, 0.119, 0.619)
Cl (0.375, 0.381, 0.119)
Au (0.000, 0.000, 0.000)
Au (0.750, 0.500, 0.500)
Pt (0.250, 0.500, 0.500)
Pt (0.500, 0.000, 0.000)



Entry 5:
Density functional theory data (meta-GGA SCAN) for a PBEsol-optimized structure of PtAuSCl2.

The calculation puts the uncorrected formation energy at 0.380 eV/atom. For the electronic total energy, the calculation gives -32.607 eV/atom.

abc: 4.581 4.775 4.775
angles: 90.00 90.00 90.00
Fractional coordinates of all 5 atoms:
Au (0.500, 0.500, 0.500)
Pt (0.000, 0.000, 0.000)
Cl (0.000, 0.500, 0.000)
Cl (0.000, 0.000, 0.500)
S (0.500, 0.000, 0.000)



Entry 6:
Density functional theory data (meta-GGA SCAN) for a PBEsol-optimized structure of Rb3Au3Cl8.

The calculation puts the uncorrected formation energy at -1.187 eV/atom. For the electronic total energy, the calculation gives -25.009 eV/atom.

abc: 6.950 6.950 17.727
angles: 81.76 81.76 65.92
Fractional coordinates of all 28 atoms:
Rb (0.698, 0.661, 0.428)
Rb (0.661, 0.698, 0.928)
Rb (0.339, 0.302, 0.072)
Rb (0.990, 0.010, 0.250)
Rb (0.302, 0.339, 0.572)
Rb (0.010, 0.990, 0.750)
Cl (0.851, 0.286, 0.074)
Cl (0.202, 0.165, 0.923)
Cl (0.798, 0.835, 0.077)
Cl (0.495, 0.099, 0.241)
Cl (0.741, 0.332, 0.619)
Cl (0.668, 0.259, 0.881)
Cl (0.714, 0.149, 0.426)
Cl (0.286, 0.851, 0.574)
Cl (0.505, 0.901, 0.759)
Cl (0.259, 0.668, 0.381)
Cl (0.332, 0.741, 0.119)
Cl (0.901, 0.505, 0.259)
Cl (0.165, 0.202, 0.423)
Cl (0.835, 0.798, 0.577)
Cl (0.099, 0.495, 0.741)
Cl (0.149, 0.714, 0.926)
Au (0.608, 0.611, 0.194)
Au (0.611, 0.608, 0.694)
Au (0.392, 0.389, 0.806)
Au (0.000, 0.000, 0.500)
Au (0.389, 0.392, 0.306)
Au (0.000, 0.000, 0.000)



Entry 7:
Density functional theory data (meta-GGA SCAN) for a PBEsol-optimized structure of Rb2SbAuCl6.

The calculation puts the uncorrected formation energy at -1.242 eV/atom. For the electronic total energy, the calculation gives -20.819 eV/atom.

abc: 7.422 7.422 7.422
angles: 60.00 60.00 60.00
Fractional coordinates of all 10 atoms:
Cl (0.749, 0.251, 0.251)
Cl (0.749, 0.251, 0.749)
Cl (0.251, 0.749, 0.749)
Cl (0.251, 0.749, 0.251)
Cl (0.749, 0.749, 0.251)
Cl (0.251, 0.251, 0.749)
Au (0.500, 0.500, 0.500)
Sb (0.000, 0.000, 0.000)
Rb (0.250, 0.250, 0.250)
Rb (0.750, 0.750, 0.750)



Entry 8:
Density functional theory data (meta-GGA SCAN) for a PBEsol-optimized structure of Rb2ScAuCl6.

The calculation puts the uncorrected formation energy at -1.817 eV/atom. For the electronic total energy, the calculation gives -19.091 eV/atom.

abc: 7.245 7.245 7.245
angles: 60.00 60.00 60.00
Fractional coordinates of all 10 atoms:
Rb (0.250, 0.250, 0.250)
Rb (0.750, 0.750, 0.750)
Cl (0.759, 0.759, 0.241)
Cl (0.759, 0.241, 0.241)
Cl (0.241, 0.759, 0.759)
Cl (0.759, 0.241, 0.759)
Cl (0.241, 0.759, 0.241)
Cl (0.241, 0.241, 0.759)
Au (0.500, 0.500, 0.500)
Sc (0.000, 0.000, 0.000)



Entry 9:
Density functional theory data (meta-GGA SCAN) for a PBEsol-optimized structure of RbAuSe2Cl.

The calculation puts the uncorrected formation energy at -0.333 eV/atom. For the electronic total energy, the calculation gives -27.940 eV/atom.

abc: 4.873 4.873 7.353
angles: 90.00 90.00 90.00
Fractional coordinates of all 5 atoms:
Se (0.500, 0.000, 0.000)
Se (0.000, 0.500, 0.000)
Cl (0.500, 0.500, 0.500)
Au (0.000, 0.000, 0.000)
Rb (0.000, 0.000, 0.500)



Entry 10:
Density functional theory data (meta-GGA SCAN) for a PBEsol-optimized structure of Rb2TlAuCl6.

The calculation puts the uncorrected formation energy at -1.225 eV/atom. For the electronic total energy, the calculation gives -24.311 eV/atom.

abc: 7.384 7.384 7.384
angles: 60.00 60.00 60.00
Fractional coordinates of all 10 atoms:
Cl (0.258, 0.742, 0.742)
Cl (0.742, 0.742, 0.258)
Cl (0.742, 0.258, 0.258)
Cl (0.258, 0.742, 0.258)
Cl (0.742, 0.258, 0.742)
Cl (0.258, 0.258, 0.742)
Rb (0.250, 0.250, 0.250)
Rb (0.750, 0.750, 0.750)
Au (0.500, 0.500, 0.500)
Tl (0.000, 0.000, 0.000)



Entry 11:
Density functional theory data (meta-GGA SCAN) for a PBEsol-optimized structure of Re2AuCl.

The calculation puts the uncorrected formation energy at 1.425 eV/atom. For the electronic total energy, the calculation gives -53.407 eV/atom.

abc: 2.686 4.866 4.866
angles: 105.01 90.00 90.00
Fractional coordinates of all 4 atoms:
Cl (0.500, 0.500, 0.500)
Re (0.000, 0.500, 0.000)
Re (0.000, 0.000, 0.500)
Au (0.500, 0.000, 0.000)



Entry 12:
Density functional theory data (meta-GGA SCAN) for a PBEsol-optimized structure of ReAu3Cl.

The calculation puts the uncorrected formation energy at 1.939 eV/atom. For the electronic total energy, the calculation gives -55.370 eV/atom.

abc: 4.719 4.719 4.719
angles: 90.00 90.00 90.00
Fractional coordinates of all 5 atoms:
Re (0.500, 0.500, 0.500)
Au (0.000, 0.500, 0.000)
Au (0.000, 0.000, 0.500)
Au (0.500, 0.000, 0.000)
Cl (0.000, 0.000, 0.000)